No. 1
## Tl2GaFeF6 (GGA+U)

Data for a relaxed structure of Tl2GaFeF6.

The structure in POSCAR format:
```
Tl2GaFeF6
1.0
-3.2620 -5.0548 -0.1893
5.1052 -3.2667 -0.7411
0.7343 -0.7945 8.5599
F Tl Ga Fe
12 4 2 2
direct
0.7418 0.0023 0.0000 F
0.5000 0.2501 0.2499 F
0.0000 0.7499 0.7499 F
0.2418 0.5024 0.5000 F
0.2418 0.9977 0.5000 F
0.7418 0.4976 0.0000 F
0.2582 0.4976 0.0000 F
0.7582 0.9977 0.5000 F
0.5000 0.2501 0.7501 F
0.0000 0.7499 0.2501 F
0.2582 0.0023 0.0000 F
0.7582 0.5024 0.5000 F
0.0000 0.2500 0.2482 Tl
0.0000 0.2500 0.7518 Tl
0.5000 0.7500 0.7482 Tl
0.5000 0.7500 0.2518 Tl
0.0000 0.7499 0.0000 Ga
0.5000 0.2501 0.5000 Ga
0.5000 0.2500 0.0000 Fe
0.0000 0.7500 0.5000 Fe
```

Calculated values
Raw total energy (eV per atom): -4.5095
Symmetry: Immm (71)

No. 2
## ZnGaFeF2 (GGA+U)

Data for a relaxed structure of ZnGaFeF2.

The structure in POSCAR format:
```
ZnGaFeF2
1.0
-2.1304 -1.8842 -2.6482
4.9307 -2.2101 -2.3941
-0.2270 -3.0723 2.3687
F Fe Ga Zn
2 1 1 1
direct
0.0000 0.0000 0.5000 F
0.5000 0.0000 0.0000 F
0.0000 0.5000 0.0000 Fe
0.5000 0.5000 0.5000 Ga
0.0000 0.0000 0.0000 Zn
```

Calculated values
Raw total energy (eV per atom): -3.5384
Symmetry: P4/mmm (123)

No. 3
## FeGe2F6 (GGA+U)

Data for a relaxed structure of FeGe2F6.

The structure in POSCAR format:
```
FeGe2F6
1.0
-4.0988 -2.5884 2.7311
4.0820 -5.3712 4.0513
1.4352 2.3301 7.3780
Fe F Ge
2 12 4
direct
0.7500 0.9028 0.0972 Fe
0.2500 0.0972 0.9028 Fe
0.3542 0.3728 0.8032 F
0.0908 0.8471 0.9662 F
0.9092 0.1529 0.0338 F
0.1458 0.1968 0.6272 F
0.6458 0.6272 0.1968 F
0.9917 0.6667 0.7297 F
0.4917 0.7297 0.6667 F
0.5908 0.9662 0.8471 F
0.0083 0.3333 0.2703 F
0.5083 0.2703 0.3333 F
0.4092 0.0338 0.1529 F
0.8542 0.8032 0.3728 F
0.2170 0.1187 0.4222 Ge
0.2830 0.5778 0.8813 Ge
0.7830 0.8813 0.5778 Ge
0.7170 0.4222 0.1187 Ge
```

Calculated values
Raw total energy (eV per atom): -5.0462
Symmetry: C2/c (15)

No. 4
## FeGe2F (GGA+U)

Data for a relaxed structure of FeGe2F.

The structure in POSCAR format:
```
FeGe2F
1.0
3.1579 2.5937 1.6356
-1.0277 3.1794 2.8653
1.1880 -0.3738 4.2218
Fe Ge F
1 2 1
direct
0.5000 0.5000 0.5000 Fe
0.2500 0.2500 0.2500 Ge
0.7500 0.7500 0.7500 Ge
0.0000 0.0000 0.0000 F
```

Calculated values
Raw total energy (eV per atom): -4.1798
Symmetry: Fm-3m (225)

No. 5
## FeGe3F (GGA+U)

Data for a relaxed structure of FeGe3F.

The structure in POSCAR format:
```
FeGe3F
1.0
-4.3945 -0.0345 -0.6601
-0.1419 -4.2850 1.1691
-0.6455 1.1771 4.2363
Ge Fe F
3 1 1
direct
0.0000 0.5000 0.0000 Ge
0.0000 0.0000 0.5000 Ge
0.5000 0.0000 0.0000 Ge
0.0000 0.0000 0.0000 Fe
0.5000 0.5000 0.5000 F
```

Calculated values
E above lowest polymorph (eV per atom): 0.000
Symmetry: Pm-3m (221)

No. 6
## FeGe3F (GGA+U)

Data for a relaxed structure of FeGe3F.

The structure in POSCAR format:
```
FeGe3F
1.0
4.5306 0.0000 0.0000
0.0000 4.5306 0.0000
0.0000 0.0000 4.5306
Fe F Ge
1 1 3
direct
0.5000 0.5000 0.5000 Fe
0.0000 0.0000 0.0000 F
0.0000 0.0000 0.5000 Ge
0.5000 0.0000 0.0000 Ge
0.0000 0.5000 0.0000 Ge
```

Calculated values
E above lowest polymorph (eV per atom): 0.134
Symmetry: Pm-3m (221)

No. 7
## Fe3GeF (GGA+U)

Data for a relaxed structure of Fe3GeF.

The structure in POSCAR format:
```
Fe3GeF
1.0
4.8191 0.0000 0.0000
0.0000 4.8191 0.0000
0.0000 0.0000 4.8191
Fe Ge F
3 1 1
direct
0.0000 0.0000 0.5000 Fe
0.5000 0.0000 0.0000 Fe
0.0000 0.5000 0.0000 Fe
0.0000 0.0000 0.0000 Ge
0.5000 0.5000 0.5000 F
```

Calculated values
E above lowest polymorph (eV per atom): 0.120
Symmetry: Pm-3m (221)

No. 8
## FeGe2F8 (GGA+U)

Data for a relaxed structure of FeGe2F8.

The structure in POSCAR format:
```
FeGe2F8
1.0
5.0538 -0.4505 -0.3418
-0.5732 5.4421 -0.0788
-0.5732 1.3894 5.2623
Ge F Fe
2 8 1
direct
0.4402 0.6844 0.6844 Ge
0.5598 0.3156 0.3156 Ge
0.6957 0.6624 0.0459 F
0.2661 0.4383 0.4383 F
0.2001 0.8284 0.8284 F
0.3043 0.3376 0.9541 F
0.6957 0.0459 0.6624 F
0.7999 0.1716 0.1716 F
0.7339 0.5617 0.5617 F
0.3043 0.9541 0.3376 F
0.0000 0.0000 0.0000 Fe
```

Calculated values
Raw total energy (eV per atom): -4.8140
Symmetry: C2/m (12)

no.,total magnetic moment (μB/cell)
1,6.034
2,3.133
3,8.000
4,2.849
5,1.000
6,3.214
7,11.000
8,3.912